1.
Computed, not measured: Na2Mg3Mo4O16 after structural relaxation at the GGA-PBEsol level of DFT.

Unit cell a=9.7244 b=10.2835 c=12.2833 alpha=86.59 beta=77.57 gamma=63.60
Closest atoms and distances in Å follow each position.
Space group P1 (No. 1)
Asymmetric unit:
Na: 0.0000 0.0000 0.0000  5 O 2.36-2.54
Na: 0.0379 0.7039 0.7539  5 O 2.21-2.37
Na: 0.4599 0.0344 0.5166  4 O 2.26-2.53
Na: 0.5438 0.6905 0.2469  5 O 2.21-2.41
Na: 0.7582 0.9268 0.2993  3 O 2.26-2.49
Na: 0.9595 0.2959 0.2394  5 O 2.25-2.37
Mg: 0.0896 0.1025 0.4595  6 O 2.03-2.14
Mg: 0.1287 0.5161 0.1694  6 O 2.05-2.16
Mg: 0.3717 0.4809 0.3277  6 O 2.05-2.14
Mg: 0.4160 0.8967 0.0349  6 O 2.02-2.15
Mg: 0.4677 0.3068 0.7509  5 O 2.00-2.10
Mg: 0.5812 0.1006 0.9538  6 O 1.98-2.19
Mg: 0.6274 0.5189 0.6683  6 O 2.03-2.19
Mg: 0.8639 0.4868 0.8269  6 O 2.05-2.13
Mg: 0.9211 0.8926 0.5386  6 O 2.00-2.17
Mo: 0.1446 0.8310 0.2614  4 O 1.73-1.80
Mo: 0.1831 0.3706 0.5866  4 O 1.74-1.79
Mo: 0.1881 0.2403 0.9671  4 O 1.73-1.80
Mo: 0.3116 0.7599 0.5199  4 O 1.74-1.78
Mo: 0.3223 0.6284 0.9189  4 O 1.74-1.83
Mo: 0.3585 0.1647 0.2358  4 O 1.73-1.80
Mo: 0.6389 0.8351 0.7568  4 O 1.71-1.81
Mo: 0.6764 0.3623 0.0748  4 O 1.75-1.78
Mo: 0.6938 0.2356 0.4785  4 O 1.73-1.81
Mo: 0.8110 0.7627 0.0221  4 O 1.75-1.78
Mo: 0.8312 0.6265 0.4153  4 O 1.75-1.78
Mo: 0.8463 0.1700 0.7345  4 O 1.70-1.81
O: 0.0323 0.4936 0.6904  1 Mo 1.76
O: 0.0485 0.3263 0.8868  1 Mo 1.73
O: 0.0732 0.9213 0.3976  1 Mo 1.80
O: 0.1270 0.3412 0.0952  1 Mo 1.77
O: 0.1291 0.7692 0.5905  1 Mo 1.76
O: 0.1361 0.2377 0.5435  1 Mo 1.76
O: 0.1396 0.7445 0.8906  1 Mo 1.74
O: 0.1844 0.6442 0.2598  1 Mo 1.78
O: 0.1903 0.1459 0.3044  1 Mo 1.76
O: 0.2133 0.0606 0.9906  1 Mo 1.77
O: 0.2248 0.4629 0.4703  1 Mo 1.74
O: 0.2851 0.5328 0.0344  1 Mo 1.74
O: 0.2937 0.9378 0.4978  1 Mo 1.77
O: 0.3077 0.8539 0.1866  1 Mo 1.76
O: 0.3175 0.3511 0.2374  1 Mo 1.78
O: 0.3580 0.2786 0.6405  1 Mo 1.79, 1 Mg 2.00
O: 0.3688 0.2397 0.8922  1 Mo 1.80
O: 0.3710 0.6620 0.3898  1 Mo 1.78
O: 0.4012 0.7399 0.9539  1 Mo 1.75
O: 0.4278 0.0812 0.0972  1 Mo 1.80
O: 0.4449 0.5020 0.7998  1 Mo 1.83, 1 Mg 2.03
O: 0.4484 0.6665 0.6018  1 Mo 1.74
O: 0.5002 0.0764 0.3140  1 Mo 1.73
O: 0.5006 0.9227 0.6788  1 Mo 1.71
O: 0.5503 0.4742 0.1949  1 Mo 1.78
O: 0.5570 0.3301 0.3980  1 Mo 1.73
O: 0.5656 0.9239 0.8939  1 Mo 1.81
O: 0.5988 0.2535 0.0325  1 Mo 1.75
O: 0.6264 0.7745 0.0892  1 Mo 1.76
O: 0.6276 0.3276 0.6146  1 Mo 1.81
O: 0.6629 0.7415 0.3654  1 Mo 1.75
O: 0.6681 0.1575 0.7982  1 Mo 1.80
O: 0.6770 0.6479 0.7590  1 Mo 1.79
O: 0.7122 0.4682 0.9646  1 Mo 1.76
O: 0.7152 0.0541 0.4843  1 Mo 1.78
O: 0.7798 0.5343 0.5298  1 Mo 1.76
O: 0.7873 0.9428 0.9990  1 Mo 1.77
O: 0.8083 0.8543 0.6890  1 Mo 1.77
O: 0.8166 0.3536 0.7360  1 Mo 1.78
O: 0.8588 0.2448 0.1060  1 Mo 1.76
O: 0.8726 0.2342 0.4099  1 Mo 1.76
O: 0.8745 0.6581 0.8955  1 Mo 1.78
O: 0.9020 0.7474 0.4486  1 Mo 1.77
O: 0.9275 0.0806 0.5973  1 Mo 1.81
O: 0.9399 0.6792 0.1127  1 Mo 1.75
O: 0.9667 0.5021 0.3047  1 Mo 1.78
O: 0.9750 0.0789 0.8178  1 Mo 1.70
O: 0.9933 0.9192 0.1912  1 Mo 1.73

Summary:
E_tot = -7.812 eV per atom

2.
Computed, not measured: La2MnZn after structural relaxation at the GGA-PBEsol level of DFT.

Unit cell a=5.2005 b=5.2005 c=3.5918 alpha=90.00 beta=90.00 gamma=90.00
Closest atoms and distances in Å follow each position.
Space group P4/mmm (No. 123)
Asymmetric unit:
La: 0.0000 0.5000 0.0000  4 Mn 3.16, 4 Zn 3.16
Mn: 0.0000 0.0000 0.5000  8 La 3.16
Zn: 0.5000 0.5000 0.5000  8 La 3.16

Summary:
E_tot = -5.418 eV per atom

3.
Computed, not measured: MnMo2Ru after structural relaxation at the GGA-PBEsol level of DFT.

Unit cell a=5.2460 b=8.3337 c=2.6692 alpha=90.00 beta=106.63 gamma=90.00
Closest atoms and distances in Å follow each position.
Space group C2/m (No. 12)
Asymmetric unit:
Mn: 0.0000 0.0000 0.0000  4 Mo 2.62, 2 Ru 2.62, 2 Mn 2.67
Mo: 0.2500 0.2500 0.5000  2 Mn 2.62, 2 Ru 2.62, 4 Mo 2.62-2.67
Ru: 0.0000 0.5000 0.0000  4 Mo 2.62, 2 Mn 2.62, 2 Ru 2.67

Summary:
E above lowest polymorph = 38.0 meV/atom

4.
Computed, not measured: Ba2AgPd2 after structural relaxation at the GGA-PBEsol level of DFT.

Unit cell a=7.6665 b=7.6665 c=4.4784 alpha=90.00 beta=90.00 gamma=90.00
Closest atoms and distances in Å follow each position.
Space group P4/mbm (No. 127)
Asymmetric unit:
Ba: 0.1777 0.3223 0.0000  6 Pd 3.09-3.26
Ag: 0.0000 0.0000 0.5000  4 Pd 3.02
Pd: 0.1262 0.6262 0.5000  1 Pd 2.74, 2 Ag 3.02

Summary:
E above lowest polymorph = 0.0 meV/atom

5.
Computed, not measured: ThZn2 after structural relaxation at the GGA-PBEsol level of DFT.

Unit cell a=4.4946 b=4.4946 c=3.5352 alpha=90.00 beta=90.00 gamma=120.00
Closest atoms and distances in Å follow each position.
Space group P6/mmm (No. 191)
Asymmetric unit:
Th: 0.0000 0.0000 0.0000  12 Zn 3.14
Zn: 0.3333 0.6667 0.5000  3 Zn 2.59

Summary:
E_tot = -4.026 eV per atom

6.
Computed, not measured: TaPt2Au after structural relaxation at the GGA-PBEsol level of DFT.

Unit cell a=3.9790 b=3.9790 c=7.9467 alpha=90.00 beta=90.00 gamma=90.00
Closest atoms and distances in Å follow each position.
Space group I4/mmm (No. 139)
Asymmetric unit:
Ta: 0.0000 0.0000 0.0000  8 Pt 2.81, 4 Au 2.81
Pt: 0.0000 0.5000 0.2500  4 Ta 2.81, 4 Au 2.81, 4 Pt 2.81
Au: 0.0000 0.0000 0.5000  8 Pt 2.81, 4 Ta 2.81

Summary:
E above lowest polymorph = 0.0 meV/atom

7.
Computed, not measured: AgGeC2N after structural relaxation at the GGA-PBEsol level of DFT.

Unit cell a=3.7828 b=3.7828 c=4.1093 alpha=90.00 beta=90.00 gamma=90.00
Closest atoms and distances in Å follow each position.
Space group P4/mmm (No. 123)
Asymmetric unit:
Ag: 0.0000 0.0000 0.0000  2 N 2.05
Ge: 0.5000 0.5000 0.0000  4 Ag 2.67, 8 C 2.79
C: 0.0000 0.5000 0.5000  2 N 1.89
N: 0.0000 0.0000 0.5000  4 C 1.89, 2 Ag 2.05

Summary:
E_tot = -4.637 eV per atom

8.
Computed, not measured: InPBrCl2 after structural relaxation at the GGA-PBEsol level of DFT.

Unit cell a=5.7163 b=5.7163 c=4.5758 alpha=90.00 beta=90.00 gamma=90.00
Closest atoms and distances in Å follow each position.
Space group P4/mmm (No. 123)
Asymmetric unit:
In: 0.0000 0.0000 0.0000  8 Cl 3.66, 4 P 4.04
P: 0.5000 0.5000 0.0000  2 Br 2.29
Br: 0.5000 0.5000 0.5000  2 P 2.29
Cl: 0.0000 0.5000 0.5000  2 Br 2.86

Summary:
E_tot = -2.527 eV per atom

9.
Computed, not measured: MgCdPb2 after structural relaxation at the GGA-PBEsol level of DFT.

Unit cell a=7.5135 b=7.5135 c=7.5135 alpha=90.00 beta=90.00 gamma=90.00
Closest atoms and distances in Å follow each position.
Space group F-43m (No. 216)
Asymmetric unit:
Mg: 0.0000 0.0000 0.0000  4 Pb 3.25, 4 Cd 3.25
Cd: 0.2500 0.2500 0.2500  4 Pb 3.25, 4 Mg 3.25
Pb: 0.0000 0.0000 0.5000  4 Cd 3.25, 4 Pb 3.25
Pb: 0.2500 0.2500 0.7500  4 Pb 3.25, 4 Mg 3.25

Summary:
E above lowest polymorph = 57.9 meV/atom

10.
Computed, not measured: PRu after structural relaxation at the GGA-PBEsol level of DFT.

Unit cell a=8.3503 b=2.8779 c=6.6782 alpha=90.00 beta=107.41 gamma=90.00
Closest atoms and distances in Å follow each position.
Space group Cm (No. 8)
Asymmetric unit:
P: 0.0000 0.0000 0.0000  7 Ru 2.36-2.60
P: 0.0850 0.0000 0.6050  7 Ru 2.34-2.55
P: 0.2455 0.5000 0.3566  5 Ru 2.36-2.49
Ru: 0.2052 0.5000 0.9301  5 P 2.36-2.55
Ru: 0.3764 0.0000 0.6659  7 P 2.34-2.60
Ru: 0.4506 0.0000 0.2863  7 P 2.36-2.54

Summary:
E above lowest polymorph = 257.2 meV/atom

11.
Computed, not measured: Ca2Cu2Hg after structural relaxation at the GGA-PBEsol level of DFT.

Unit cell a=3.4790 b=3.4790 c=17.7207 alpha=90.00 beta=90.00 gamma=90.00
Closest atoms and distances in Å follow each position.
Space group I4/mmm (No. 139)
Asymmetric unit:
Ca: 0.0000 0.0000 0.1147  4 Cu 2.96, 4 Hg 3.19
Cu: 0.0000 0.5000 0.2500  4 Cu 2.46
Hg: 0.0000 0.0000 0.5000  8 Ca 3.19, 4 Hg 3.48

Summary:
E above lowest polymorph = 69.6 meV/atom

12.
Computed, not measured: Mn5Tc after structural relaxation at the GGA-PBEsol level of DFT.

Unit cell a=6.4361 b=6.4361 c=6.4361 alpha=90.00 beta=90.00 gamma=90.00
Closest atoms and distances in Å follow each position.
Space group F-43m (No. 216)
Asymmetric unit:
Mn: 0.0000 0.0000 0.0000  12 Mn 2.67, 4 Tc 2.79
Mn: 0.1264 0.1264 0.3736  6 Mn 2.25-2.30
Tc: 0.2500 0.2500 0.7500  16 Mn 2.67-2.79

Summary:
E_tot = -9.967 eV per atom

13.
Computed, not measured: Zr5Ir2Os after structural relaxation at the GGA-PBEsol level of DFT.

Unit cell a=5.5037 b=13.7667 c=7.9210 alpha=90.00 beta=90.00 gamma=90.00
Closest atoms and distances in Å follow each position.
Space group Amm2 (No. 38)
Asymmetric unit:
Zr: 0.0000 0.0000 0.0000  5 Ir 2.76-3.02
Zr: 0.0000 0.1205 0.3625  3 Ir 2.76-2.86, 2 Os 3.03
Zr: 0.2505 0.1672 0.7421  2 Zr 2.75-2.76, 4 Ir 2.78-2.80, 2 Os 2.78
Zr: 0.5000 0.0000 0.4830  2 Os 2.77, 3 Ir 2.86-3.02
Zr: 0.5000 0.1217 0.1245  2 Os 2.74-2.85, 3 Ir 2.78-3.02
Ir: 0.0000 0.0000 0.6406  9 Zr 2.76-3.02
Ir: 0.0000 0.1990 0.0421  9 Zr 2.76-3.02
Ir: 0.5000 0.0000 0.8438  9 Zr 2.78-3.02
Os: 0.5000 0.1998 0.4420  9 Zr 2.74-3.03

Summary:
E_tot = -10.283 eV per atom

14.
Computed, not measured: BeSeBr2Cl after structural relaxation at the GGA-PBEsol level of DFT.

Unit cell a=5.1235 b=5.1235 c=4.9954 alpha=90.00 beta=90.00 gamma=90.00
Closest atoms and distances in Å follow each position.
Space group P4/mmm (No. 123)
Asymmetric unit:
Be: 0.0000 0.0000 0.0000  8 Br 3.58, 4 Se 3.62
Se: 0.5000 0.5000 0.0000  2 Cl 2.50
Br: 0.0000 0.5000 0.5000  2 Cl 2.56
Cl: 0.5000 0.5000 0.5000  2 Se 2.50, 4 Br 2.56

Summary:
E above lowest polymorph = 907.2 meV/atom

15.
Computed, not measured: Mg2ZnIn after structural relaxation at the GGA-PBEsol level of DFT.

Unit cell a=3.1968 b=3.1968 c=28.0064 alpha=90.00 beta=90.00 gamma=120.00
Closest atoms and distances in Å follow each position.
Space group R-3m (No. 166, hexagonal axes)
Asymmetric unit:
Mg: 0.0000 0.0000 0.2430  3 Zn 2.82, 3 In 3.13
Zn: 0.0000 0.0000 0.5000  6 Mg 2.82
In: 0.0000 0.0000 0.0000  6 Mg 3.13, 6 In 3.20

Summary:
E_tot = -2.028 eV per atom

16.
Computed, not measured: Be22Mo after structural relaxation at the GGA-PBEsol level of DFT.

Unit cell a=11.5229 b=11.5229 c=11.5229 alpha=90.00 beta=90.00 gamma=90.00
Closest atoms and distances in Å follow each position.
Space group Fd-3m (No. 227, origin choice 2)
Asymmetric unit:
Be: 0.0000 0.0000 0.0000  12 Be 2.04-2.25
Be: 0.0000 0.0000 0.5000  12 Be 2.45, 2 Mo 2.49
Be: 0.0097 0.3750 0.3750  12 Be 2.04-2.28
Be: 0.0598 0.0598 0.8242  9 Be 2.13-2.34
Mo: 0.1250 0.1250 0.6250  16 Be 2.49-2.53

Summary:
E_tot = -4.381 eV per atom

17.
Computed, not measured: IrAuBr3 after structural relaxation at the GGA-PBEsol level of DFT.

Unit cell a=4.9538 b=4.9538 c=4.9538 alpha=90.00 beta=90.00 gamma=90.00
Closest atoms and distances in Å follow each position.
Space group Pm-3m (No. 221)
Asymmetric unit:
Ir: 0.0000 0.0000 0.0000  6 Br 2.48
Au: 0.5000 0.5000 0.5000  12 Br 3.50
Br: 0.0000 0.0000 0.5000  2 Ir 2.48

Summary:
E_tot = -3.267 eV per atom

18.
Computed, not measured: Ba2ZrFe after structural relaxation at the GGA-PBEsol level of DFT.

Unit cell a=4.5243 b=4.5243 c=5.4405 alpha=90.00 beta=90.00 gamma=90.00
Closest atoms and distances in Å follow each position.
Space group P4/mmm (No. 123)
Asymmetric unit:
Ba: 0.0000 0.5000 0.0000  4 Ba 3.20, 4 Fe 3.54, 4 Zr 3.54
Zr: 0.0000 0.0000 0.5000  4 Fe 3.20, 8 Ba 3.54
Fe: 0.5000 0.5000 0.5000  4 Zr 3.20, 8 Ba 3.54

Summary:
E_tot = -4.601 eV per atom

19.
Computed, not measured: TaCo4Se after structural relaxation at the GGA-PBEsol level of DFT.

Unit cell a=6.6226 b=6.6226 c=6.6226 alpha=90.00 beta=90.00 gamma=90.00
Closest atoms and distances in Å follow each position.
Space group F-43m (No. 216)
Asymmetric unit:
Ta: 0.0000 0.0000 0.0000  12 Co 2.74, 4 Se 2.87
Co: 0.1257 0.1257 0.3743  6 Co 2.33-2.35
Se: 0.2500 0.2500 0.7500  12 Co 2.75, 4 Ta 2.87

Summary:
E_tot = -7.762 eV per atom

20.
Computed, not measured: Tc3MoOs after structural relaxation at the GGA-PBEsol level of DFT.

Unit cell a=4.5724 b=4.5724 c=4.5724 alpha=90.00 beta=90.00 gamma=90.00
Closest atoms and distances in Å follow each position.
Space group Pm-3m (No. 221)
Asymmetric unit:
Tc: 0.0000 0.0000 0.5000  2 Os 2.29
Mo: 0.5000 0.5000 0.5000  12 Tc 3.23
Os: 0.0000 0.0000 0.0000  6 Tc 2.29

Summary:
E_tot = -9.457 eV per atom

21.
Computed, not measured: SrCa3Rh after structural relaxation at the GGA-PBEsol level of DFT.

Unit cell a=6.7168 b=7.6707 c=7.7704 alpha=64.59 beta=78.90 gamma=70.15
Closest atoms and distances in Å follow each position.
Space group P-1 (No. 2)
Asymmetric unit:
Sr: 0.0236 0.2427 0.2908  1 Rh 2.94
Ca: 0.0517 0.7758 0.1908  1 Rh 2.76
Ca: 0.4663 0.2378 0.5122  2 Rh 2.92-2.94
Ca: 0.5000 0.0000 0.0000  2 Rh 2.85
Ca: 0.5000 0.5000 0.0000  2 Rh 2.86
Rh: 0.2882 0.9101 0.7769  5 Ca 2.76-2.94, 1 Sr 2.94

Summary:
E above lowest polymorph = 0.0 meV/atom